(1)
Below is a relaxed structure of ScGaSe2Br, with properties calculated at the PBE level.

Lattice parameters (Å, degrees): 5.024 5.024 4.969 90.00 90.00 90.00
Fractional positions:
1 Sc 0.000 0.000 0.000
2 Ga 0.500 0.500 0.500
3 Se 0.000 0.500 0.500
4 Se 0.500 0.000 0.500
5 Br 0.500 0.500 0.000

## Properties
Volume   125.4 Å³/cell
SG   P4/mmm, No. 123
Formation energy from raw total energies   -0.282 eV/atom
Total magnetic moment   0.5 Bohr magnetons per cell


(2)
Below is a relaxed structure of ScGaSe2Br, with properties calculated at the PBE level.

Lattice parameters (Å, degrees): 4.853 4.853 5.601 90.00 90.00 90.00
Fractional positions:
1 Sc 0.000 0.000 0.000
2 Ga 0.000 0.000 0.500
3 Se 0.000 0.500 0.500
4 Se 0.500 0.000 0.500
5 Br 0.500 0.500 0.000

## Properties
Volume   131.9 Å³/cell
SG   P4/mmm, No. 123
Formation energy from raw total energies   -0.066 eV/atom
Total magnetic moment   0.0 Bohr magnetons per cell


(3)
Below is a relaxed structure of Sc2TiGaBr, with properties calculated at the PBE level.

Lattice parameters (Å, degrees): 5.171 5.171 4.924 90.00 90.00 90.00
Fractional positions:
1 Sc 0.000 0.500 0.000
2 Sc 0.500 0.000 0.000
3 Ti 0.000 0.000 0.500
4 Ga 0.000 0.000 0.000
5 Br 0.500 0.500 0.500

## Properties
Volume   131.6 Å³/cell
SG   P4/mmm, No. 123
Formation energy from raw total energies   0.202 eV/atom
Total magnetic moment   3.3 Bohr magnetons per cell


(4)
Below is a relaxed structure of Sc2VGaBr, with properties calculated at the PBE level.

Lattice parameters (Å, degrees): 5.231 5.231 5.223 90.00 90.00 90.00
Fractional positions:
1 Sc 0.000 0.500 0.000
2 Sc 0.500 0.000 0.000
3 V 0.000 0.000 0.500
4 Ga 0.500 0.500 0.000
5 Br 0.500 0.500 0.500

## Properties
Volume   142.9 Å³/cell
SG   P4/mmm, No. 123
Formation energy from raw total energies   0.766 eV/atom
Total magnetic moment   4.7 Bohr magnetons per cell


(5)
Below is a relaxed structure of ScGaWBr2, with properties calculated at the PBE level.

Lattice parameters (Å, degrees): 4.998 4.998 5.120 90.00 90.00 90.00
Fractional positions:
1 Sc 0.000 0.000 0.000
2 Ga 0.500 0.500 0.500
3 W 0.500 0.500 0.000
4 Br 0.000 0.500 0.500
5 Br 0.500 0.000 0.500

## Properties
Volume   127.9 Å³/cell
SG   P4/mmm, No. 123
Formation energy from raw total energies   1.064 eV/atom
Total magnetic moment   0.0 Bohr magnetons per cell


(6)
Below is a relaxed structure of GaSeBr2, with properties calculated at the PBE level.

Lattice parameters (Å, degrees): 10.014 10.014 10.014 20.64 20.64 20.64
Fractional positions:
1 Ga 0.000 0.000 0.000
2 Se 0.500 0.500 0.500
3 Br 0.080 0.080 0.080
4 Br 0.920 0.920 0.920

## Properties
Volume   109.2 Å³/cell
SG   R-3m, No. 166
Formation energy from raw total energies   0.338 eV/atom
Total magnetic moment   0.0 Bohr magnetons per cell


Please write out number 4 again, unchanged.
Below is a relaxed structure of Sc2VGaBr, with properties calculated at the PBE level.

Lattice parameters (Å, degrees): 5.231 5.231 5.223 90.00 90.00 90.00
Fractional positions:
1 Sc 0.000 0.500 0.000
2 Sc 0.500 0.000 0.000
3 V 0.000 0.000 0.500
4 Ga 0.500 0.500 0.000
5 Br 0.500 0.500 0.500

## Properties
Volume   142.9 Å³/cell
SG   P4/mmm, No. 123
Formation energy from raw total energies   0.766 eV/atom
Total magnetic moment   4.7 Bohr magnetons per cell


> What is the total magnetic moment in the fifth record?

0.0 Bohr magnetons per cell


> What is the formation energy from raw total energies in the sixth record?

0.338 eV/atom